# GGA-PBE LiOsNF2, relaxed
data_LiOsNF2
_chemical_formula_sum 'Li1 Os1 N1 F2'
_space_group_name_H-M_alt 'P 1'
_space_group_IT_number 1
_cell_length_a 3.264
_cell_length_b 3.264
_cell_length_c 4.629
_cell_angle_alpha 90.00
_cell_angle_beta 90.00
_cell_angle_gamma 90.00
loop_
_space_group_symop_operation_xyz
'x,y,z'
loop_
_atom_site_label
_atom_site_fract_x
_atom_site_fract_y
_atom_site_fract_z
Os1 0.500 0.500 0.500
F1 0.500 0.000 0.000
Li1 0.000 0.000 0.000
N1 0.000 0.000 0.500
F2 0.000 0.500 0.000
# DOS(E_F)   2.1 states/eV per cell
# Uncorrected formation energy   -0.03 eV per atom
# Space-group type   P4/mmm, No. 123
# Crystal system   tetragonal
# Offset from the most stable computed form   706 meV per atom
# DFT total energy   -5.076 eV/atom